(P)
{"formula": "Tl3Pt", "functional": "PBE", "state": "relaxed", "magmom_total_mub_per_atom": 0.000, "spacegroup": "P2/m (10)", "cell": [[-0.904, 2.023, 2.591], [1.637, -2.122, 2.228], [8.939, 2.473, 1.186]], "species": ["Tl", "Tl", "Tl", "Pt"], "fractional_positions": [[0.500, 0.696, 0.803], [0.000, 0.500, 0.500], [0.500, 0.304, 0.197], [0.000, 0.000, 0.000]]}

---

(Q)
{"formula": "Tl3Pt", "functional": "PBE", "state": "relaxed", "magmom_total_mub_per_atom": 0.000, "spacegroup": "R-3m (166)", "cell": [[5.837, 0.015, 0.044], [-2.562, 5.244, 0.044], [-2.562, -4.114, 3.253]], "species": ["Pt", "Tl", "Tl", "Tl"], "fractional_positions": [[0.000, 0.000, 0.000], [0.500, 0.000, 0.500], [0.500, 0.500, 0.000], [0.000, 0.500, 0.500]]}

---

Name the most stable of them. (P).

---

(P)
{"formula": "Tl3Pt", "functional": "PBE", "state": "relaxed", "magmom_total_mub_per_atom": 0.000, "spacegroup": "P6_322 (182)", "cell": [[-1.593, 4.819, 4.490], [0.645, -4.165, 4.700], [4.962, 3.410, -1.899]], "species": ["Tl", "Tl", "Tl", "Tl", "Tl", "Tl", "Pt", "Pt"], "fractional_positions": [[0.474, 0.303, 0.000], [0.974, 0.697, 0.000], [0.974, 0.000, 0.697], [0.474, 0.697, 0.697], [0.474, 0.000, 0.303], [0.974, 0.303, 0.303], [0.724, 0.333, 0.667], [0.224, 0.667, 0.333]]}

---

(Q)
{"formula": "Tl3Pt", "functional": "PBE", "state": "relaxed", "magmom_total_mub_per_atom": 0.000, "spacegroup": "P6_3/mmc (194)", "cell": [[3.866, -6.696, 0.000], [3.866, 6.696, 0.000], [0.000, 0.000, 4.273]], "species": ["Tl", "Tl", "Tl", "Tl", "Tl", "Tl", "Pt", "Pt"], "fractional_positions": [[0.815, 0.629, 0.250], [0.371, 0.185, 0.250], [0.815, 0.185, 0.250], [0.185, 0.371, 0.750], [0.629, 0.815, 0.750], [0.185, 0.815, 0.750], [0.333, 0.667, 0.250], [0.667, 0.333, 0.750]]}

---

Name the most stable of them. (P).